# meta-GGA SCAN Pb2BrN, single point on PBEsol structure
data_Pb2BrN
_chemical_formula_sum 'Pb8 Br4 N4'
_space_group_name_H-M_alt 'F m -3 m'
_space_group_IT_number 225
_space_group_name_Hall '-F 4 2 3'
_cell_length_a 7.040
_cell_length_b 7.040
_cell_length_c 7.040
_cell_angle_alpha 90.00
_cell_angle_beta 90.00
_cell_angle_gamma 90.00
loop_
_atom_site_label
_atom_site_type_symbol
_atom_site_fract_x
_atom_site_fract_y
_atom_site_fract_z
Pb1 Pb 0.250 0.250 0.250
Br1 Br 0.000 0.000 0.000
N1 N 0.000 0.000 0.500
# E	-44.33	eV/atom
# DOS(E_F)	0.325	states/eV per atom